This record from Alexandria describes a relaxed BeGeO3 crystal. The functional is GGA-PBE.

## Properties
Formation energy from raw total energies in eV/atom: -1.835
VASP energy in eV/atom: -6.48
Density of states at the Fermi level in states/eV/atom: 0.000

Geometry as CIF:
```
data_BeGeO3
_chemical_formula_sum 'Be2 Ge2 O6'
_space_group_name_H-M_alt 'A m m 2'
_space_group_IT_number 38
_cell_length_a 2.816
_cell_length_b 5.261
_cell_length_c 8.059
_cell_angle_alpha 90.00
_cell_angle_beta 90.00
_cell_angle_gamma 90.00
loop_
_space_group_symop_operation_xyz
'x,y,z'
'-x,-y,z'
'-x,y,z'
'x,-y,z'
'x,y+1/2,z+1/2'
'-x,-y+1/2,z+1/2'
'-x,y+1/2,z+1/2'
'x,-y+1/2,z+1/2'
loop_
_atom_site_label
_atom_site_fract_x
_atom_site_fract_y
_atom_site_fract_z
Be1 0.000 0.000 0.000
Ge1 0.500 0.000 0.646
O1 0.000 0.000 0.785
O2 0.500 0.216 0.036
```



This record from Alexandria describes a relaxed BeGeO3 crystal. The functional is GGA-PBE.

## Properties
Formation energy from raw total energies in eV/atom: -0.747
VASP energy in eV/atom: -5.39
Density of states at the Fermi level in states/eV/atom: 0.030

Geometry as CIF:
```
data_BeGeO3
_chemical_formula_sum 'Be1 Ge1 O3'
_space_group_name_H-M_alt 'P m -3 m'
_space_group_IT_number 221
_space_group_name_Hall '-P 4 2 3'
_cell_length_a 3.637
_cell_length_b 3.637
_cell_length_c 3.637
_cell_angle_alpha 90.00
_cell_angle_beta 90.00
_cell_angle_gamma 90.00
loop_
_atom_site_label
_atom_site_fract_x
_atom_site_fract_y
_atom_site_fract_z
Be1 0.000 0.000 0.000
Ge1 0.500 0.500 0.500
O1 0.000 0.500 0.500
```